1.
A relaxed structure of Rb2MnCl4, computed with PBEsol.

```
Rb2MnCl4
1.0
-2.307 0.194 4.419
-3.994 -2.234 -1.987
6.198 -6.125 0.689
Cl Mn Rb
4 1 2
Cartesian
-1.154 0.097 2.210 Cl
-1.052 -5.941 2.528 Cl
0.949 -2.224 0.593 Cl
-1.997 -1.117 -0.994 Cl
0.000 0.000 0.000 Mn
-2.289 -3.040 1.755 Rb
2.186 -5.125 1.367 Rb
```

## Properties
The calculation puts the total DFT energy (no corrections) at -4.3972 eV/atom. Its space group is I4/mmm. For the formation energy without anion corrections, the calculation gives -1.56 eV per atom.

=====

2.
A relaxed structure of Ho7PtI12, computed with PBEsol.

```
Ho7PtI12
1.0
-6.062 -2.619 6.789
8.699 -0.171 3.742
-1.953 8.994 -2.234
Ho I Pt
7 12 1
Cartesian
1.376 3.632 1.740 Ho
2.625 3.894 5.295 Ho
-0.692 2.572 6.557 Ho
0.000 0.000 0.000 Ho
1.286 0.603 4.012 Ho
-0.602 5.601 4.285 Ho
-1.941 2.310 3.002 Ho
-1.206 -0.692 2.672 I
-1.943 5.373 7.080 I
0.232 -0.405 6.707 I
1.890 6.896 5.625 I
4.044 1.179 5.355 I
-3.459 1.623 5.641 I
1.780 3.399 8.249 I
0.452 6.610 1.590 I
-1.096 2.805 0.048 I
-3.360 5.026 2.942 I
2.627 0.831 1.217 I
4.143 4.581 2.656 I
0.342 3.102 4.148 Pt
```

## Properties
The calculation puts the total DFT energy (no corrections) at -4.4121 eV/atom. Its space group is R-3. For the formation energy without anion corrections, the calculation gives -1.27 eV per atom. As for the density of states at the Fermi level: 6.002 states/eV per cell.

=====

3.
A relaxed structure of La6Co13Sb, computed with PBEsol.

```
La6Co13Sb
1.0
7.930 0.000 0.000
0.000 7.930 0.000
-3.965 -3.965 11.342
Co La Sb
26 12 2
Cartesian
2.564 6.529 1.278 Co
3.063 -0.902 9.344 Co
7.415 1.694 0.000 Co
1.694 0.515 0.000 Co
4.867 7.028 1.998 Co
4.480 5.659 0.000 Co
3.450 2.272 0.000 Co
5.659 3.450 0.000 Co
-0.902 -3.063 9.344 Co
7.028 3.063 1.998 Co
2.564 1.401 10.064 Co
3.063 0.902 1.998 Co
0.000 3.965 0.000 Co
0.902 3.063 9.344 Co
-2.564 -1.401 10.064 Co
3.965 0.000 0.000 Co
0.515 6.237 0.000 Co
6.237 7.415 0.000 Co
0.902 4.867 1.998 Co
-3.063 0.902 9.344 Co
1.401 -2.564 10.064 Co
6.529 5.366 1.278 Co
5.366 1.401 1.278 Co
1.401 2.564 1.278 Co
2.272 4.480 0.000 Co
-1.401 2.564 10.064 Co
3.965 3.965 9.068 La
-1.289 5.254 4.063 La
5.254 1.289 4.063 La
-1.289 2.676 7.279 La
3.965 3.965 2.274 La
1.289 5.254 7.279 La
1.289 2.676 4.063 La
2.676 -1.289 4.063 La
0.000 0.000 2.274 La
0.000 0.000 9.068 La
2.676 1.289 7.279 La
5.254 -1.289 7.279 La
3.965 3.965 5.671 Sb
0.000 0.000 5.671 Sb
```

## Properties
The calculation puts the total DFT energy (no corrections) at -7.0552 eV/atom. Its space group is I4/mcm. For the formation energy without anion corrections, the calculation gives -0.19 eV per atom. As for the density of states at the Fermi level: 40.310 states/eV per cell.

=====

4.
A relaxed structure of InRuBr2, computed with PBEsol.

```
InRuBr2
1.0
-1.655 2.139 1.891
-5.253 -2.369 0.961
-0.375 -2.430 5.300
Br Ru In
2 1 1
Cartesian
-1.868 1.766 2.126 Br
-5.347 -1.794 5.988 Br
-1.806 -0.640 2.022 Ru
-3.557 -1.183 3.984 In
```

## Properties
The calculation puts the total DFT energy (no corrections) at -3.9467 eV/atom. Its space group is Imm2. For the formation energy without anion corrections, the calculation gives 0.28 eV per atom. As for the density of states at the Fermi level: 1.732 states/eV per cell.

=====

5.
A relaxed structure of ScCu, computed with PBEsol.

```
ScCu
1.0
-3.122 -0.234 0.708
-0.136 -2.818 -1.530
0.734 -1.518 2.731
Sc Cu
1 1
Cartesian
-1.262 -2.285 0.955 Sc
0.000 0.000 0.000 Cu
```

## Properties
The calculation puts the total DFT energy (no corrections) at -5.7367 eV/atom. Its space group is Pm-3m. As for the density of states at the Fermi level: 1.192 states/eV per cell.

=====

6.
A relaxed structure of TiAs2W, computed with PBEsol.

```
TiAs2W
1.0
-0.459 3.501 2.636
-4.009 1.642 0.803
-1.814 -0.467 3.988
Ti As W
1 2 1
Cartesian
0.000 0.000 0.000 Ti
-1.571 1.169 1.857 As
-4.712 3.507 5.570 As
-3.142 2.338 3.713 W
```

## Properties
The calculation puts the total DFT energy (no corrections) at -8.3873 eV/atom. Its space group is Fm-3m. As for the density of states at the Fermi level: 1.844 states/eV per cell.

=====

> Look up the total DFT energy (no corrections) of the second one.

-4.4121 eV/atom